w | This record from Alexandria via LeMat-Bulk describes crystalline Sc4Sb2N at its relaxed geometry. The functional is PBE-GGA.

Cell lengths 4.347, 4.347, 8.121 Å; angles 74.47, 74.47, 90.00 degrees
Element x y z (fractional)
N 0.000 0.000 0.000
Sc 0.000 0.500 0.000
Sc 0.843 0.843 0.314
Sc 0.500 0.000 0.000
Sc 0.157 0.157 0.686
Sb 0.646 0.646 0.709
Sb 0.354 0.354 0.291

Space-group type: I4/mmm (139)
Magnetic moment: 0.00 μB/f.u.

=====

x | This record from Alexandria via LeMat-Bulk describes crystalline Sc4Sb2N at its relaxed geometry. The functional is PBE-GGA.

Cell lengths 6.106, 6.210, 8.443 Å; angles 90.00, 109.49, 90.00 degrees
Element x y z (fractional)
Sb 0.168 0.250 0.402
Sb 0.295 0.250 0.970
Sb 0.832 0.750 0.598
Sb 0.705 0.750 0.030
Sc 0.163 0.750 0.959
Sc 0.837 0.250 0.041
Sc 0.533 0.998 0.294
Sc 0.915 0.250 0.655
Sc 0.467 0.498 0.706
Sc 0.085 0.750 0.345
Sc 0.533 0.502 0.294
Sc 0.467 0.002 0.706
N 0.693 0.250 0.787
N 0.307 0.750 0.213

Space-group type: P2_1/m (11)
Magnetic moment: 0.00 μB/f.u.

=====

Least stable = x

=====

w | This record from Alexandria via LeMat-Bulk describes crystalline Sc2Sb2N at its relaxed geometry. The functional is PBE-GGA.

Cell lengths 6.989, 6.989, 4.296 Å; angles 90.00, 90.00, 90.00 degrees
Element x y z (fractional)
N 0.500 0.500 0.000
N 0.000 0.000 0.000
Sb 0.169 0.331 0.000
Sb 0.669 0.169 0.000
Sb 0.831 0.669 0.000
Sb 0.331 0.831 0.000
Sc 0.648 0.852 0.500
Sc 0.148 0.648 0.500
Sc 0.852 0.352 0.500
Sc 0.352 0.148 0.500

Space-group type: P4/mbm (127)
Magnetic moment: 0.13 μB/f.u.

=====

x | This record from Alexandria via LeMat-Bulk describes crystalline Sc2Sb2N at its relaxed geometry. The functional is PBE-GGA.

Cell lengths 5.670, 5.670, 5.503 Å; angles 58.99, 58.99, 90.00 degrees
Element x y z (fractional)
Sb 0.287 0.287 0.425
Sb 0.713 0.713 0.575
Sc 0.750 0.250 0.500
Sc 0.250 0.750 0.500
N 0.000 0.000 0.000

Space-group type: I4/mmm (139)
Magnetic moment: 0.32 μB/f.u.

=====

Least stable = x